A plane-wave DFT calculation with meta-GGA SCAN was carried out for LiCuO3 at its PBEsol-relaxed geometry.

Cell: 3.5533 3.5533 3.5533 Å, 90.00 90.00 90.00°
Last column: nearest neighbours and their distance in Å.
Atoms (fractional coordinates):
O 0.0000 0.0000 0.5000  2 Li 1.78
O 0.0000 0.5000 0.0000  2 Li 1.78
O 0.5000 0.0000 0.0000  2 Li 1.78
Cu 0.5000 0.5000 0.5000  12 O 2.51
Li 0.0000 0.0000 0.0000  6 O 1.78

Properties
Density of states at the Fermi level (states/eV/f.u.): 1.363
Final energy (eV per atom): -7.18
Total moment (μB per cell): 4.00
Formation energy from raw total energies (kJ/mol of formula units): 39

A plane-wave DFT calculation with meta-GGA SCAN was carried out for LiCuO2 at its PBEsol-relaxed geometry.

Cell: 2.7256 5.0431 5.1809 Å, 90.00 90.00 90.00°
Last column: nearest neighbours and their distance in Å.
Atoms (fractional coordinates):
Cu 0.5000 0.0000 0.0000  4 O 1.86
Cu 0.0000 0.5000 0.5000  4 O 1.86
Li 0.0000 0.0000 0.5000  6 O 2.08-2.18
Li 0.5000 0.5000 0.0000  6 O 2.08-2.18
O 0.0000 0.8013 0.1473  2 Cu 1.86
O 0.0000 0.1987 0.8527  2 Cu 1.86
O 0.5000 0.3013 0.3527  2 Cu 1.86
O 0.5000 0.6987 0.6473  2 Cu 1.86

Properties
Final energy (eV per atom): -8.79
Total moment (μB per cell): 0.00
Formation energy from raw total energies (kJ/mol of formula units): -492